1.
TaFe4Cl: optimized geometry, PBE.

a b c (Å): 4.877 4.877 4.877
angles (deg): 60.00 60.00 60.00
Fractional coordinates of all 6 atoms:
Ta 0.000 0.000 0.000
Fe 0.374 0.374 0.374
Fe 0.374 0.374 0.878
Fe 0.374 0.878 0.374
Fe 0.878 0.374 0.374
Cl 0.750 0.750 0.750

## Properties
energy relative to the elements, uncorrected: 40.9 kJ per mole of atoms
crystal system: cubic
total energy: -7.5011 eV/atom



2.
Mg2GaO: optimized geometry, PBE.

a b c (Å): 5.879 5.879 5.879
angles (deg): 118.90 118.90 91.91
Fractional coordinates of all 8 atoms:
Mg 0.008 0.125 0.383
Mg 0.375 0.992 0.117
Mg 0.742 0.625 0.617
Mg 0.875 0.258 0.883
Ga 0.250 0.750 0.500
Ga 0.500 0.500 0.000
O 0.000 0.000 0.000
O 0.750 0.250 0.500

## Properties
energy relative to the elements, uncorrected: -108.7 kJ per mole of atoms
energy relative to the lowest polymorph listed for this composition: 0.000 eV per atom
crystal system: tetragonal
total energy: -3.9201 eV/atom